# 1
An optimized crystal structure of HfTi4B4. Source: Alexandria, functional PBE.

Cell: 7.264 7.264 4.499 Å, 90.00 90.00 90.00°
Element x y z (fractional)
1 Hf 0.250 0.250 0.250
2 Hf 0.750 0.750 0.750
3 Ti 0.092 0.648 0.126
4 Ti 0.148 0.908 0.626
5 Ti 0.352 0.592 0.626
6 Ti 0.408 0.852 0.126
7 Ti 0.592 0.148 0.874
8 Ti 0.648 0.408 0.374
9 Ti 0.852 0.092 0.374
10 Ti 0.908 0.352 0.874
11 B 0.037 0.587 0.619
12 B 0.087 0.963 0.119
13 B 0.413 0.537 0.119
14 B 0.463 0.913 0.619
15 B 0.537 0.087 0.381
16 B 0.587 0.463 0.881
17 B 0.913 0.037 0.881
18 B 0.963 0.413 0.381

Computed properties:
symmetry	P4_2/n
DFT formation energy	-32.39	kJ/mol of atoms
final energy	-142.53	eV per cell



# 2
An optimized crystal structure of Y2MgPd3. Source: Alexandria, functional PBE.

Cell: 4.869 4.869 11.803 Å, 90.00 90.00 120.00°
Element x y z (fractional)
1 Y 0.000 0.000 0.000
2 Y 0.000 0.000 0.500
3 Y 0.333 0.667 0.179
4 Y 0.667 0.333 0.821
5 Mg 0.333 0.667 0.665
6 Mg 0.667 0.333 0.335
7 Pd 0.000 0.000 0.252
8 Pd 0.000 0.000 0.748
9 Pd 0.333 0.667 0.424
10 Pd 0.333 0.667 0.914
11 Pd 0.667 0.333 0.086
12 Pd 0.667 0.333 0.576

Computed properties:
symmetry	P-3m1
DFT formation energy	-79.36	kJ/mol of atoms
final energy	-70.07	eV per cell
distance to the lowest polymorph of the same formula	0.0000	eV per atom



# 3
An optimized crystal structure of Ac2In6AgPd. Source: Alexandria, functional PBE.

Cell: 13.433 13.433 13.433 Å, 30.53 30.53 30.53°
Element x y z (fractional)
1 Ac 0.108 0.108 0.108
2 Ac 0.281 0.281 0.281
3 Ac 0.719 0.719 0.719
4 Ac 0.892 0.892 0.892
5 In 0.079 0.662 0.662
6 In 0.223 0.223 0.657
7 In 0.223 0.657 0.223
8 In 0.338 0.338 0.921
9 In 0.338 0.921 0.338
10 In 0.343 0.777 0.777
11 In 0.657 0.223 0.223
12 In 0.662 0.079 0.662
13 In 0.662 0.662 0.079
14 In 0.777 0.343 0.777
15 In 0.777 0.777 0.343
16 In 0.921 0.338 0.338
17 Ag 0.426 0.426 0.426
18 Ag 0.574 0.574 0.574
19 Pd 0.000 0.000 0.000
20 Pd 0.500 0.500 0.500

Computed properties:
symmetry	R-3m
DFT formation energy	-32.30	kJ/mol of atoms
final energy	-72.08	eV per cell



# 4
An optimized crystal structure of Rb2CuB. Source: Alexandria, functional PBE.

Cell: 12.652 12.652 3.932 Å, 90.00 90.00 90.00°
Element x y z (fractional)
1 Rb 0.043 0.250 0.125
2 Rb 0.250 0.543 0.375
3 Rb 0.250 0.957 0.875
4 Rb 0.457 0.250 0.625
5 Rb 0.543 0.750 0.625
6 Rb 0.750 0.043 0.875
7 Rb 0.750 0.457 0.375
8 Rb 0.957 0.750 0.125
9 Cu 0.000 0.000 0.500
10 Cu 0.000 0.500 0.750
11 Cu 0.500 0.000 0.250
12 Cu 0.500 0.500 0.000
13 B 0.000 0.000 0.000
14 B 0.000 0.500 0.250
15 B 0.500 0.000 0.750
16 B 0.500 0.500 0.500

Computed properties:
symmetry	I-42d
DFT formation energy	54.85	kJ/mol of atoms
final energy	-41.74	eV per cell



# 5
An optimized crystal structure of KCdPb2. Source: Alexandria, functional PBE.

Cell: 3.706 5.998 11.841 Å, 90.00 90.00 90.00°
Element x y z (fractional)
1 K 0.000 0.000 0.000
2 K 0.500 0.500 0.500
3 Cd 0.000 0.000 0.500
4 Cd 0.500 0.500 0.000
5 Pb 0.000 0.500 0.215
6 Pb 0.000 0.500 0.785
7 Pb 0.500 0.000 0.285
8 Pb 0.500 0.000 0.715

Computed properties:
symmetry	Immm
DFT formation energy	-2.75	kJ/mol of atoms
final energy	-19.09	eV per cell



# 6
An optimized crystal structure of BaGd2Tc. Source: Alexandria, functional PBE.

Cell: 3.630 3.630 33.577 Å, 90.00 90.00 120.00°
Element x y z (fractional)
1 Ba 0.000 0.000 0.000
2 Ba 0.333 0.667 0.667
3 Ba 0.667 0.333 0.333
4 Gd 0.000 0.000 0.109
5 Gd 0.000 0.000 0.891
6 Gd 0.333 0.667 0.557
7 Gd 0.333 0.667 0.776
8 Gd 0.667 0.333 0.224
9 Gd 0.667 0.333 0.443
10 Tc 0.000 0.000 0.500
11 Tc 0.333 0.667 0.167
12 Tc 0.667 0.333 0.833

Computed properties:
symmetry	R-3m
DFT formation energy	30.28	kJ/mol of atoms
final energy	-117.59	eV per cell
distance to the lowest polymorph of the same formula	0.2159	eV per atom